# Cs2Lu2O5 | OQMD via LeMat-Bulk | PBE-GGA | optimized geometry
# E above lowest polymorph in eV per atom: 0.000
data_Cs2Lu2O5
_chemical_formula_sum 'Cs2 Lu2 O5'
_cell_length_a 4.2454
_cell_length_b 4.2454
_cell_length_c 9.6676
_cell_angle_alpha 90.00
_cell_angle_beta 90.00
_cell_angle_gamma 90.00
_symmetry_space_group_name_H-M 'P 4/m m m'
_symmetry_Int_Tables_number 123
_symmetry_space_group_name_Hall '-P 4 2'
loop_
_atom_site_label
_atom_site_type_symbol
_atom_site_fract_x
_atom_site_fract_y
_atom_site_fract_z
_atom_site_occupancy
Cs1 Cs 0.0000 0.0000 0.0000 1
Cs2 Cs 0.0000 0.0000 0.5000 1
Lu1 Lu 0.5000 0.5000 0.2141 1
O1 O 0.0000 0.5000 0.2675 1
O2 O 0.5000 0.5000 0.0000 1



Here is crystalline CsLuP2O7 at its relaxed geometry from OQMD via LeMat-Bulk. Energies are from PBE-GGA.

Cell and atoms, written as CIF:
```
data_CsLuP2O7
_chemical_formula_sum 'Cs4 Lu4 P8 O28'
_cell_length_a 7.8226
_cell_length_b 10.6398
_cell_length_c 8.6270
_cell_angle_alpha 90.00
_cell_angle_beta 104.17
_cell_angle_gamma 90.00
_symmetry_space_group_name_H-M 'P 1 21/c 1'
_symmetry_Int_Tables_number 14
_symmetry_space_group_name_Hall '-P 2ybc'
loop_
_atom_site_label
_atom_site_type_symbol
_atom_site_fract_x
_atom_site_fract_y
_atom_site_fract_z
_atom_site_occupancy
Cs1 Cs 0.1997 0.1947 0.0488 1
Lu1 Lu 0.2357 0.5989 0.2545 1
P1 P 0.1311 0.5940 0.8230 1
P2 P 0.4312 0.6308 0.6840 1
O1 O 0.0026 0.0010 0.2240 1
O2 O 0.0853 0.7276 0.7604 1
O3 O 0.1480 0.5830 0.0006 1
O4 O 0.3238 0.5575 0.7965 1
O5 O 0.3337 0.6028 0.5126 1
O6 O 0.3843 0.0743 0.7673 1
O7 O 0.4391 0.7297 0.2261 1
```



# CsLuSeO | OQMD via LeMat-Bulk | PBE-GGA | optimized geometry
# E above lowest polymorph in eV per atom: 0.026
data_CsLuSeO
_chemical_formula_sum 'Cs2 Lu2 Se2 O2'
_cell_length_a 4.4354
_cell_length_b 8.7342
_cell_length_c 6.8845
_cell_angle_alpha 90.00
_cell_angle_beta 90.00
_cell_angle_gamma 90.00
_symmetry_space_group_name_H-M 'P m c 21'
_symmetry_Int_Tables_number 26
_symmetry_space_group_name_Hall 'P 2c -2'
loop_
_atom_site_label
_atom_site_type_symbol
_atom_site_fract_x
_atom_site_fract_y
_atom_site_fract_z
_atom_site_occupancy
Cs1 Cs 0.0000 0.1960 0.0000 1
Lu1 Lu 0.5000 0.3909 0.4390 1
Se1 Se 0.0000 0.2170 0.5028 1
O1 O 0.5000 0.4385 0.1447 1



M_tot, record by record: 2.0, 0.0, 0.0 μB/cell
Calculated total energy, record by record: -55.7, -323.4, -45.0 eV per cell